(1)
First-principles (PBE-GGA) data for LaNd4Bi3 after structural relaxation, as listed in the Alexandria database.

abc: 4.143 8.895 14.923
angles: 90.00 90.00 90.00
Space group Immm (No. 71)
Inequivalent atoms, fractional coordinates:
La 0.000 0.000 0.000 x2
Nd 0.000 0.295 0.134 x8
Bi 0.000 0.000 0.500 x2
Bi 0.000 0.500 0.318 x4

Calculated values
density: 8.11 g/cm³
crystal system: orthorhombic
D(E_F): 9.5 states/eV/f.u.

---

(2)
First-principles (PBE-GGA) data for Dy6Hg2Ru after structural relaxation, as listed in the Alexandria database.

abc: 6.914 7.384 12.220
angles: 90.00 123.77 90.00
Space group P2_1/c (No. 14)
Inequivalent atoms, fractional coordinates:
Dy 0.136 0.012 0.247 x4
Dy 0.229 0.690 0.051 x4
Dy 0.362 0.190 0.052 x4
Hg 0.290 0.094 0.752 x4
Ru 0.500 0.000 0.500 x2

Calculated values
density: 9.46 g/cm³
crystal system: monoclinic
D(E_F): 8.0 states/eV/f.u.
polymorph energy (0 for the lowest one): 61 meV/atom

---

(3)
First-principles (PBE-GGA) data for NaTlAg2Cl4 after structural relaxation, as listed in the Alexandria database.

abc: 6.558 6.558 11.707
angles: 90.00 90.00 90.00
Space group I-42m (No. 121)
Inequivalent atoms, fractional coordinates:
Na 0.000 0.000 0.000 x2
Tl 0.000 0.000 0.500 x2
Ag 0.000 0.500 0.250 x4
Cl 0.224 0.224 0.145 x8

Calculated values
density: 3.86 g/cm³
crystal system: tetragonal
D(E_F): 0.0 states/eV/f.u.

---

(4)
First-principles (PBE-GGA) data for Nb6Ru3N2 after structural relaxation, as listed in the Alexandria database.

abc: 3.0896 3.0896 59.9041
angles: 90.00 90.00 120.00
Space group R-3m (No. 166, hexagonal axes)
Inequivalent atoms, fractional coordinates:
Nb 0.0000 0.0000 0.1046 x6
Nb 0.0000 0.0000 0.1876 x6
Nb 0.0000 0.0000 0.3677 x6
Ru 0.0000 0.0000 0.0000 x3
Ru 0.0000 0.0000 0.2652 x6
N 0.0000 0.0000 0.4587 x6

Calculated values
density: 8.94 g/cm³
crystal system: trigonal
D(E_F): 7.5 states/eV/f.u.

---

no.,E (eV/atom)
1,-4.950
2,-4.442
3,-2.990
4,-9.897